1.
Entry from Alexandria via LeMat-Bulk: Sb2RuBr after structural relaxation (GGA-PBEsol).

Final energy (eV/f.u.): -18.16
Calculated volume (Å³/atom): 21.2
Total moment (μB/f.u.): 0.00
Formation energy (no corrections) (eV/atom): 0.75
Mass density (Mg/m³): 8.294

Cell: 4.1258 4.1258 4.9926 Å, 90.00 90.00 90.00°
Closest atoms and distances in Å follow each position.
Space group P4/mmm (No. 123)
Asymmetric unit:
Sb 0.0000 0.5000 0.0000  4 Sb 2.92, 4 Br 3.24, 4 Ru 3.24
Ru 0.0000 0.0000 0.5000  4 Br 2.92, 8 Sb 3.24
Br 0.5000 0.5000 0.5000  4 Ru 2.92, 8 Sb 3.24



2.
Entry from Alexandria via LeMat-Bulk: Sb2RuBr after structural relaxation (GGA-PBEsol).

Final energy (eV/f.u.): -20.02
Calculated volume (Å³/atom): 31.9
Total moment (μB/f.u.): 0.00
Formation energy (no corrections) (eV/atom): 0.28
Mass density (Mg/m³): 5.530

Cell: 6.3327 6.3327 12.7147 Å, 90.00 90.00 90.00°
Closest atoms and distances in Å follow each position.
Space group I-42d (No. 122)
Asymmetric unit:
Sb 0.1556 0.2500 0.1250  2 Ru 2.45
Ru 0.0000 0.0000 0.0000  4 Sb 2.45
Br 0.0000 0.0000 0.5000  4 Sb 3.13



3.
Entry from Alexandria via LeMat-Bulk: SbRuBr2 after structural relaxation (GGA-PBEsol).

Final energy (eV/f.u.): -18.24
Calculated volume (Å³/atom): 26.2
Total moment (μB/f.u.): 0.00
Formation energy (no corrections) (eV/atom): 0.06
Mass density (Mg/m³): 6.062

Cell: 9.4561 3.4206 7.0268 Å, 90.00 112.73 90.00°
Closest atoms and distances in Å follow each position.
Space group Cm (No. 8)
Asymmetric unit:
Sb 0.0000 0.0000 0.0000  3 Ru 2.62-2.73
Ru 0.2658 0.0000 0.9660  4 Br 2.50-2.62, 3 Sb 2.62-2.73
Br 0.1544 0.5000 0.6889  2 Ru 2.50
Br 0.3264 0.5000 0.2706  2 Ru 2.62



4.
Entry from Alexandria via LeMat-Bulk: SbRuBr2 after structural relaxation (GGA-PBEsol).

Final energy (eV/f.u.): -16.30
Calculated volume (Å³/atom): 22.2
Total moment (μB/f.u.): 0.01
Formation energy (no corrections) (eV/atom): 0.54
Mass density (Mg/m³): 7.166

Cell: 3.0959 3.0959 9.2510 Å, 90.00 90.00 90.00°
Closest atoms and distances in Å follow each position.
Space group P4/mmm (No. 123)
Asymmetric unit:
Sb 0.0000 0.0000 0.0000  4 Sb 3.10
Ru 0.0000 0.0000 0.5000  8 Br 2.69
Br 0.5000 0.5000 0.3310  4 Ru 2.69



5.
Entry from Alexandria via LeMat-Bulk: SbRu2Br after structural relaxation (GGA-PBEsol).

Final energy (eV/f.u.): -25.16
Calculated volume (Å³/atom): 20.6
Total moment (μB/f.u.): 0.00
Formation energy (no corrections) (eV/atom): 0.40
Mass density (Mg/m³): 8.124

Cell: 8.0749 3.0870 7.5917 Å, 90.00 119.28 90.00°
Closest atoms and distances in Å follow each position.
Space group C2/m (No. 12)
Asymmetric unit:
Sb 0.0000 0.0000 0.0000  6 Ru 2.57-2.60
Ru 0.1357 0.5000 0.8248  3 Sb 2.57-2.60, 2 Br 2.65, 2 Ru 2.84
Br 0.0000 0.0000 0.5000  4 Ru 2.65



6.
Entry from Alexandria via LeMat-Bulk: SbRu2Br after structural relaxation (GGA-PBEsol).

Final energy (eV/f.u.): -24.36
Calculated volume (Å³/atom): 16.4
Total moment (μB/f.u.): 0.22
Formation energy (no corrections) (eV/atom): 0.60
Mass density (Mg/m³): 10.218

Cell: 6.4643 6.4740 3.1360 Å, 90.00 90.00 90.00°
Closest atoms and distances in Å follow each position.
Space group Cmmm (No. 65)
Asymmetric unit:
Sb 0.0000 0.0000 0.0000  8 Ru 2.77
Ru 0.2500 0.2500 0.5000  4 Sb 2.77, 4 Br 2.77
Br 0.0000 0.5000 0.0000  8 Ru 2.77